# PBE LiLuNbCo, optimized geometry
data_LiLuNbCo
_cell_length_a 6.364
_cell_length_b 6.364
_cell_length_c 6.364
_cell_angle_alpha 90.00
_cell_angle_beta 90.00
_cell_angle_gamma 90.00
_symmetry_space_group_name_H-M 'F -4 3 m'
_symmetry_Int_Tables_number 216
_symmetry_space_group_name_Hall 'F -4 2 3'
loop_
_atom_site_label
_atom_site_type_symbol
_atom_site_fract_x
_atom_site_fract_y
_atom_site_fract_z
Li1 Li 0.000 0.000 0.000
Lu1 Lu 0.250 0.250 0.750
Nb1 Nb 0.000 0.000 0.500
Co1 Co 0.250 0.250 0.250
# ΔE to the lowest computed polymorph = 0.156 eV per atom
# E_tot = -5.63 eV per atom

---

# PBE LiLuNbCo, optimized geometry
data_LiLuNbCo
_cell_length_a 6.394
_cell_length_b 6.394
_cell_length_c 6.394
_cell_angle_alpha 90.00
_cell_angle_beta 90.00
_cell_angle_gamma 90.00
_symmetry_space_group_name_H-M 'F -4 3 m'
_symmetry_Int_Tables_number 216
_symmetry_space_group_name_Hall 'F -4 2 3'
loop_
_atom_site_label
_atom_site_type_symbol
_atom_site_fract_x
_atom_site_fract_y
_atom_site_fract_z
Li1 Li 0.000 0.000 0.000
Lu1 Lu 0.250 0.250 0.750
Nb1 Nb 0.250 0.250 0.250
Co1 Co 0.000 0.000 0.500
# ΔE to the lowest computed polymorph = 0.000 eV per atom
# E_tot = -5.78 eV per atom

---

# PBE LiLuCoPb, optimized geometry
data_LiLuCoPb
_cell_length_a 6.558
_cell_length_b 6.558
_cell_length_c 6.558
_cell_angle_alpha 90.00
_cell_angle_beta 90.00
_cell_angle_gamma 90.00
_symmetry_space_group_name_H-M 'F -4 3 m'
_symmetry_Int_Tables_number 216
_symmetry_space_group_name_Hall 'F -4 2 3'
loop_
_atom_site_label
_atom_site_type_symbol
_atom_site_fract_x
_atom_site_fract_y
_atom_site_fract_z
Li1 Li 0.000 0.000 0.000
Lu1 Lu 0.250 0.250 0.750
Co1 Co 0.000 0.000 0.500
Pb1 Pb 0.250 0.250 0.250
# ΔE to the lowest computed polymorph = 0.000 eV per atom
# E_tot = -4.50 eV per atom